Entry 1:
The following is a PBE calculation of a relaxed Pm5SbTe4 crystal, from Alexandria via LeMat-Bulk.

Output
As for the crystal system: tetragonal. For the mass density, the calculation gives 7.12 Mg/m³. The calculation puts the total energy at -5.431 eV per atom. The value obtained for the uncorrected formation energy is -1.39 eV per atom. The value obtained for the energy relative to the lowest polymorph listed for this composition is 0.000 eV/atom.

a b c (Å): 10.005 10.005 6.322
angles (deg): 90.00 90.00 90.00
Space group I4/m (No. 87)
Asymmetric unit:
1 Pm 0.000 0.000 0.000
2 Pm 0.100 0.707 0.500
3 Sb 0.000 0.000 0.500
4 Te 0.098 0.698 0.000


Entry 2:
The following is a PBE calculation of a relaxed Pm6Sb3Te crystal, from Alexandria via LeMat-Bulk.

Output
As for the crystal system: orthorhombic. For the mass density, the calculation gives 6.65 Mg/m³. The calculation puts the total energy at -5.270 eV per atom. The value obtained for the uncorrected formation energy is -0.87 eV per atom.

a b c (Å): 11.753 14.979 7.735
angles (deg): 90.00 90.00 90.00
Space group Cmc2_1 (No. 36)
Asymmetric unit:
1 Pm 0.000 0.006 0.000
2 Pm 0.000 0.248 0.624
3 Pm 0.168 0.455 0.587
4 Pm 0.179 0.269 0.024
5 Sb 0.000 0.412 0.897
6 Sb 0.180 0.101 0.763
7 Te 0.000 0.167 0.257


The lowest mass density belongs to which entry?
Pm6Sb3Te


mass density of number 2 (Pm6Sb3Te)?
6.65 Mg/m³